{"formula": "Rb2TiHgBr6", "functional": "PBE", "state": "relaxed", "mass_density_g_cm3": 3.8, "e_form_raw_ev_per_atom": -1.273, "space_group": "No. 1", "magmom_total_mub_per_fu": 0.00, "energy_ev_per_atom": -3.290, "lattice": [[-6.955, -4.222, 3.073], [-0.431, -2.081, 8.434], [-5.076, 3.085, 4.960]], "species": ["Rb", "Rb", "Ti", "Hg", "Br", "Br", "Br", "Br", "Br", "Br"], "frac_coords": [[0.567, 0.568, 0.297], [0.065, 0.064, 0.807], [0.316, 0.316, 0.051], [0.815, 0.816, 0.553], [0.485, 0.203, 0.300], [0.204, 0.013, 0.296], [0.012, 0.486, 0.298], [0.429, 0.620, 0.806], [0.620, 0.147, 0.804], [0.147, 0.430, 0.802]]}